BeCuHgOs2 | GGA-PBE | relaxed

Summary:
Calculated formation energy (eV per atom): 2.074
Electronic total energy (Ry per atom): -0.2971
Total moment (μB/cell): 2.52
Mass density (g cm⁻³): 11.33

Unit cell a=4.5337 b=4.5337 c=4.6625 alpha=90.00 beta=90.00 gamma=90.00
Space group P4/mmm (No. 123)
Symmetry-distinct sites (fractional):
Be1 0.0000 0.0000 0.0000 (multiplicity 1)
Cu1 0.5000 0.5000 0.5000 (multiplicity 1)
Hg1 0.5000 0.5000 0.0000 (multiplicity 1)
Os1 0.0000 0.5000 0.5000 (multiplicity 2)